Compound: MnINF2
Source: the Alexandria database
Functional: PBE+U
Structure: relaxed

Output
**Energy above the most stable polymorph in this dataset**: 76.5 kJ/mol of atoms
**Uncorrected energy**: -20.04 eV/cell

a = 4.874 Å, b = 4.874 Å, c = 4.064 Å
α = 90.00°, β = 90.00°, γ = 90.00°
Site moments in Bohr magnetons follow the coordinates.
Sites, in units of the cell vectors:
Mn 0.500 0.500 0.500  5.00
F 0.500 0.000 0.000  0.04
F 0.000 0.500 0.000  0.04
N 0.000 0.000 0.500  -0.01
I 0.000 0.000 0.000  0.02